Compound: CrGaAgF6
Source: Alexandria
Functional: PBE with a Hubbard U
Structure: optimized geometry

Output
DOS at the Fermi energy	12.7	states/eV per cell
VASP energy	-88.16	eV for the cell shown
space-group type	P-31c
size of the total moment	4.0	μB per formula unit

extended XYZ file:
```
18
Lattice="5.472 0.000 0.000 -2.736 4.739 0.000 0.000 0.000 10.280" Properties=species:S:1:pos:R:3 pbc="T T T"
Cr 0.000 3.159 2.570
Cr 2.736 1.580 7.710
Ga 0.000 3.159 7.710
Ga 2.736 1.580 2.570
Ag 0.000 0.000 0.000
Ag 0.000 0.000 5.140
F -0.902 1.818 6.645
F -1.612 3.048 8.776
F 0.902 1.818 8.776
F -0.710 4.610 6.645
F 2.026 0.128 1.505
F 1.124 1.690 3.635
F 1.612 3.048 6.645
F 0.710 4.610 8.776
F 3.446 0.128 3.635
F 1.834 2.920 1.505
F 4.348 1.690 1.505
F 3.638 2.920 3.635
```